1 | First-principles (PBE-GGA) data for crystalline CsTbF4 at its relaxed geometry, as listed in Alexandria via LeMat-Bulk. Values from VASP.

The structure in Quantum ESPRESSO input format:
```
&SYSTEM
  ibrav = 0, nat = 12, ntyp = 3
/
ATOMIC_SPECIES
Cs 132.91 Cs.upf
Tb 158.93 Tb.upf
F 19.00 F.upf
ATOMIC_POSITIONS angstrom
Cs 3.006 0.000 3.644
Cs 0.000 3.006 3.644
Tb 3.006 3.006 0.000
Tb 0.000 0.000 0.000
F 4.075 1.069 0.000
F 4.942 4.075 0.000
F 1.069 1.937 0.000
F 1.937 4.942 0.000
F 0.000 0.000 2.172
F 3.006 3.006 5.115
F 0.000 0.000 5.115
F 3.006 3.006 2.172
CELL_PARAMETERS angstrom
6.011 0.000 0.000
0.000 6.011 0.000
0.000 0.000 7.287
```

2 | First-principles (PBE-GGA) data for crystalline CsTbF4 at its relaxed geometry, as listed in Alexandria via LeMat-Bulk. Values from VASP.

The structure in Quantum ESPRESSO input format:
```
&SYSTEM
  ibrav = 0, nat = 12, ntyp = 3
/
ATOMIC_SPECIES
Cs 132.91 Cs.upf
Tb 158.93 Tb.upf
F 19.00 F.upf
ATOMIC_POSITIONS angstrom
Cs 6.659 -3.611 -1.394
Cs 2.077 -3.885 -0.349
Tb 3.840 -1.168 -3.508
Tb 4.896 -6.328 1.764
F 4.062 -1.977 -1.518
F 4.674 -5.519 -0.226
F 5.706 -2.168 -3.932
F 3.030 -5.328 2.189
F 2.659 -2.950 -4.170
F 6.077 -4.546 2.427
F 1.919 -0.224 -2.819
F 0.000 0.000 0.000
CELL_PARAMETERS angstrom
-2.247 -3.664 -1.239
3.839 -0.447 -5.637
7.143 -3.384 5.133
```

Which structure loses on stability? 1 does.

1 | First-principles (PBE-GGA) data for crystalline CsTc3F at its relaxed geometry, as listed in Alexandria via LeMat-Bulk. Values from VASP.

The structure in Quantum ESPRESSO input format:
```
&SYSTEM
  ibrav = 0, nat = 5, ntyp = 3
/
ATOMIC_SPECIES
Cs 132.91 Cs.upf
Tc 98.00 Tc.upf
F 19.00 F.upf
ATOMIC_POSITIONS angstrom
Cs 0.000 0.000 0.000
Tc 0.000 2.535 0.000
Tc 0.000 0.000 2.535
Tc 2.535 0.000 0.000
F 2.535 2.535 2.535
CELL_PARAMETERS angstrom
5.071 0.000 0.000
0.000 5.071 0.000
0.000 0.000 5.071
```

2 | First-principles (PBE-GGA) data for crystalline CsTc3F at its relaxed geometry, as listed in Alexandria via LeMat-Bulk. Values from VASP.

The structure in Quantum ESPRESSO input format:
```
&SYSTEM
  ibrav = 0, nat = 5, ntyp = 3
/
ATOMIC_SPECIES
Cs 132.91 Cs.upf
Tc 98.00 Tc.upf
F 19.00 F.upf
ATOMIC_POSITIONS angstrom
Cs 0.372 -3.555 1.923
Tc 1.996 -0.865 0.870
Tc -1.118 -0.595 1.972
Tc -0.507 -2.095 -0.919
F 0.000 0.000 0.000
CELL_PARAMETERS angstrom
-1.013 -4.190 -1.839
3.993 -1.730 1.741
-2.235 -1.190 3.944
```

Which structure loses on stability? 1 does.

1 | First-principles (PBE-GGA) data for crystalline CsTcF3 at its relaxed geometry, as listed in Alexandria via LeMat-Bulk. Values from VASP.

The structure in Quantum ESPRESSO input format:
```
&SYSTEM
  ibrav = 0, nat = 5, ntyp = 3
/
ATOMIC_SPECIES
Cs 132.91 Cs.upf
Tc 98.00 Tc.upf
F 19.00 F.upf
ATOMIC_POSITIONS angstrom
Cs 2.319 2.319 2.319
Tc 0.000 0.000 0.000
F 0.000 2.319 0.000
F 0.000 0.000 2.319
F 2.319 0.000 0.000
CELL_PARAMETERS angstrom
4.638 0.000 0.000
0.000 4.638 0.000
0.000 0.000 4.638
```

2 | First-principles (PBE-GGA) data for crystalline CsTcF3 at its relaxed geometry, as listed in Alexandria via LeMat-Bulk. Values from VASP.

The structure in Quantum ESPRESSO input format:
```
&SYSTEM
  ibrav = 0, nat = 5, ntyp = 3
/
ATOMIC_SPECIES
Cs 132.91 Cs.upf
Tc 98.00 Tc.upf
F 19.00 F.upf
ATOMIC_POSITIONS angstrom
Cs 0.000 0.000 0.000
Tc -2.307 -3.365 1.864
F -0.333 -2.345 -1.047
F 0.538 -1.096 2.284
F -2.512 0.076 0.628
CELL_PARAMETERS angstrom
-5.023 0.153 1.255
-0.666 -4.691 -2.095
1.075 -2.193 4.568
```

Which structure loses on stability? 2 does.

1 | First-principles (PBE-GGA) data for crystalline Cs2TcF6 at its relaxed geometry, as listed in Alexandria via LeMat-Bulk. Values from VASP.

The structure in Quantum ESPRESSO input format:
```
&SYSTEM
  ibrav = 0, nat = 9, ntyp = 3
/
ATOMIC_SPECIES
Cs 132.91 Cs.upf
Tc 98.00 Tc.upf
F 19.00 F.upf
ATOMIC_POSITIONS angstrom
Cs 3.269 1.887 1.334
Cs 9.806 5.662 4.003
Tc 0.000 0.000 0.000
F 6.538 5.940 4.200
F 4.663 4.857 1.138
F 8.413 2.692 4.200
F 6.538 1.609 1.138
F 8.413 4.857 1.138
F 4.663 2.692 4.200
CELL_PARAMETERS angstrom
6.538 0.000 0.000
3.269 5.662 0.000
3.269 1.887 5.338
```

2 | First-principles (PBE-GGA) data for crystalline Cs2TcF6 at its relaxed geometry, as listed in Alexandria via LeMat-Bulk. Values from VASP.

The structure in Quantum ESPRESSO input format:
```
&SYSTEM
  ibrav = 0, nat = 18, ntyp = 3
/
ATOMIC_SPECIES
Cs 132.91 Cs.upf
Tc 98.00 Tc.upf
F 19.00 F.upf
ATOMIC_POSITIONS angstrom
Cs 0.094 2.412 4.671
Cs 1.839 1.352 0.532
Cs 2.028 6.176 7.747
Cs 3.773 5.116 3.608
Tc 3.237 0.057 4.139
Tc -1.304 3.708 0.000
F -1.169 5.655 0.280
F -0.427 3.372 1.733
F 1.469 0.108 3.249
F 0.465 3.656 7.388
F 2.361 0.392 5.873
F 0.495 5.524 4.419
F 5.036 1.873 7.999
F 4.294 4.156 6.546
F 2.399 7.420 5.030
F 3.402 3.873 0.890
F 1.506 7.136 2.406
F 3.372 2.004 3.859
CELL_PARAMETERS angstrom
6.475 0.113 0.000
-2.608 7.415 0.000
0.000 0.000 8.279
```

Which structure loses on stability? 2 does.

1 | First-principles (PBE-GGA) data for crystalline CsTeF6 at its relaxed geometry, as listed in Alexandria via LeMat-Bulk. Values from VASP.

The structure in Quantum ESPRESSO input format:
```
&SYSTEM
  ibrav = 0, nat = 8, ntyp = 3
/
ATOMIC_SPECIES
Cs 132.91 Cs.upf
Te 127.60 Te.upf
F 19.00 F.upf
ATOMIC_POSITIONS angstrom
Cs -0.617 -6.879 -2.567
Te 0.000 0.000 0.000
F -0.655 -11.919 -4.678
F -0.622 -10.203 -2.058
F 0.823 -4.641 -0.511
F -0.612 -3.556 -3.076
F -0.578 -1.839 -0.455
F -2.056 -9.117 -4.623
CELL_PARAMETERS angstrom
-0.064 -3.244 -4.954
2.648 -5.297 -0.106
-3.817 -5.217 -0.074
```

2 | First-principles (PBE-GGA) data for crystalline CsTeF6 at its relaxed geometry, as listed in Alexandria via LeMat-Bulk. Values from VASP.

The structure in Quantum ESPRESSO input format:
```
&SYSTEM
  ibrav = 0, nat = 8, ntyp = 3
/
ATOMIC_SPECIES
Cs 132.91 Cs.upf
Te 127.60 Te.upf
F 19.00 F.upf
ATOMIC_POSITIONS angstrom
Cs 2.187 2.262 3.889
Te 0.000 0.000 0.000
F -0.071 3.863 2.336
F 3.863 0.060 2.336
F 0.511 4.465 5.442
F 4.445 0.662 5.442
F 1.174 1.214 1.037
F 3.201 3.311 6.741
CELL_PARAMETERS angstrom
5.403 -0.338 1.152
-0.520 5.389 1.152
-0.508 -0.526 5.474
```

Which structure loses on stability? 1 does.

1 | First-principles (PBE-GGA) data for crystalline CsTe2F at its relaxed geometry, as listed in Alexandria via LeMat-Bulk. Values from VASP.

The structure in Quantum ESPRESSO input format:
```
&SYSTEM
  ibrav = 0, nat = 4, ntyp = 3
/
ATOMIC_SPECIES
Cs 132.91 Cs.upf
Te 127.60 Te.upf
F 19.00 F.upf
ATOMIC_POSITIONS angstrom
Cs 3.090 2.024 5.723
Te 1.047 0.686 1.940
Te 5.133 3.362 9.507
F 0.000 0.000 0.000
CELL_PARAMETERS angstrom
1.641 4.881 2.793
-0.563 -0.320 5.822
5.102 -0.513 2.832
```

2 | First-principles (PBE-GGA) data for crystalline CsTe2F at its relaxed geometry, as listed in Alexandria via LeMat-Bulk. Values from VASP.

The structure in Quantum ESPRESSO input format:
```
&SYSTEM
  ibrav = 0, nat = 4, ntyp = 3
/
ATOMIC_SPECIES
Cs 132.91 Cs.upf
Te 127.60 Te.upf
F 19.00 F.upf
ATOMIC_POSITIONS angstrom
Cs 4.007 4.007 4.007
Te 2.004 2.004 2.004
Te 6.011 6.011 6.011
F 0.000 0.000 0.000
CELL_PARAMETERS angstrom
0.000 4.007 4.007
4.007 0.000 4.007
4.007 4.007 0.000
```

Which structure loses on stability? 2 does.